{
  "formula": "SiSe2N",
  "functional": "PBE-GGA",
  "state": "relaxed",
  "magnetic_moment_mub_per_fu": 0.0,
  "volume_a3_per_fu": 74.3,
  "sg": "No. 122",
  "crystal_system": "tetragonal",
  "relative_energy_kj_per_mol_atoms": 11.6,
  "formation_energy_uncorrected_ev_per_atom": 0.959,
  "cell": [[6.097, 0.000, 0.000], [0.000, 6.097, 0.000], [3.049, 3.049, 3.998]],
  "species": ["N", "Se", "Si", "Se", "Se", "Se", "Si", "N"],
  "fractional_positions": [[0.250, 0.750, 0.500], [0.875, 0.839, 0.750], [0.000, 0.000, 0.000], [0.375, 0.411, 0.750], [0.161, 0.625, 0.250], [0.589, 0.125, 0.250], [0.750, 0.250, 0.500], [0.500, 0.500, 0.000]]
}